# 1
The following is a DFT calculation (PBE-GGA) of a geometry-optimized Co2MoOs structure.

Distance to the lowest polymorph of the same formula, kcal/mol of atoms: 3.65
Formation energy, kJ per mole of atoms: 15
Crystal system: tetragonal

a b c (Å): 2.6770 2.6770 7.2113
angles (deg): 90.00 90.00 90.00
Space group P4mm (No. 99)
Inequivalent atoms, fractional coordinates:
Co 0.0000 0.0000 0.0000 [1 per cell]
Co 0.5000 0.5000 0.2253 [1 per cell]
Mo 0.0000 0.0000 0.4710 [1 per cell]
Os 0.5000 0.5000 0.7647 [1 per cell]

---

# 2
The following is a DFT calculation (PBE-GGA) of a geometry-optimized NaSrI2N structure.

Distance to the lowest polymorph of the same formula, kcal/mol of atoms: 0.00
Formation energy (no corrections), eV per atom: -0.345
Crystal system: tetragonal

a b c (Å): 6.5146 6.5146 5.0779
angles (deg): 90.00 90.00 90.00
Space group P4/mmm (No. 123)
Inequivalent atoms, fractional coordinates:
Na 0.0000 0.0000 0.0000 [1 per cell]
Sr 0.5000 0.5000 0.5000 [1 per cell]
I 0.0000 0.5000 0.5000 [2 per cell]
N 0.5000 0.5000 0.0000 [1 per cell]

---

# 3
The following is a DFT calculation (PBE-GGA) of a geometry-optimized LiYMg2Tl4 structure.

Formation energy, kJ per mole of atoms: -19
Crystal system: trigonal

a b c (Å): 5.1353 5.1353 25.7536
angles (deg): 90.00 90.00 120.00
Space group R-3m (No. 166, hexagonal axes)
Inequivalent atoms, fractional coordinates:
Li 0.0000 0.0000 0.0000 [3 per cell]
Y 0.0000 0.0000 0.5000 [3 per cell]
Mg 0.0000 0.0000 0.2493 [6 per cell]
Tl 0.0000 0.0000 0.1181 [6 per cell]
Tl 0.0000 0.0000 0.3707 [6 per cell]

---

# 4
The following is a DFT calculation (PBE-GGA) of a geometry-optimized Dy5Cu structure.

Formation energy, kJ per mole of atoms: 10
Crystal system: orthorhombic

a b c (Å): 4.6394 14.7832 4.8516
angles (deg): 90.00 90.00 90.00
Space group Cmmm (No. 65)
Inequivalent atoms, fractional coordinates:
Dy 0.0000 0.0000 0.0000 [2 per cell]
Dy 0.0000 0.1582 0.5000 [4 per cell]
Dy 0.0000 0.3315 0.0000 [4 per cell]
Cu 0.0000 0.5000 0.5000 [2 per cell]

---

# 5
The following is a DFT calculation (PBE-GGA) of a geometry-optimized Mg4P6Ir7 structure.

Formation energy, kJ per mole of atoms: -60
Crystal system: cubic

a b c (Å): 7.9404 7.9404 7.9404
angles (deg): 90.00 90.00 90.00
Space group Im-3m (No. 229)
Inequivalent atoms, fractional coordinates:
Mg 0.2500 0.2500 0.2500 [8 per cell]
P 0.0000 0.0000 0.3186 [12 per cell]
Ir 0.0000 0.0000 0.0000 [2 per cell]
Ir 0.0000 0.2500 0.5000 [12 per cell]

---

# 6
The following is a DFT calculation (PBE-GGA) of a geometry-optimized ZrTeCl2 structure.

Distance to the lowest polymorph of the same formula, kcal/mol of atoms: 8.43
Formation energy (no corrections), eV per atom: -0.981
Crystal system: tetragonal

a b c (Å): 3.1607 3.1607 10.5066
angles (deg): 90.00 90.00 90.00
Space group P4/mmm (No. 123)
Inequivalent atoms, fractional coordinates:
Zr 0.0000 0.0000 0.0000 [1 per cell]
Te 0.0000 0.0000 0.5000 [1 per cell]
Cl 0.5000 0.5000 0.1479 [2 per cell]

---

| no. | magnetic moment (μB/f.u.) | uncorrected energy (eV/atom) | Fermi-level density of states (states/eV per cell) |
| --- | --- | --- | --- |
| 1 | 1.8 | -8.912 | 5.38 |
| 2 | 2.0 | -3.231 | 0.89 |
| 3 | 0.0 | -2.829 | 9.31 |
| 4 | 0.0 | -4.413 | 15.71 |
| 5 | 0.0 | -6.554 | 9.91 |
| 6 | 0.2 | -4.827 | 2.60 |